Entry 1:
A plane-wave DFT calculation with PBE-GGA was carried out for Ho3As after structural relaxation.

offset from the most stable computed form = 59.6 kJ/mol of formula units
raw total energy = -5.00 eV/atom

Structure (POSCAR):
```
Ho3As
1.0
-0.178 -3.333 -5.024
0.766 -5.949 0.633
-3.405 4.278 2.546
Ho As
3 1
Direct
0.250 0.750 0.500
0.500 0.500 0.000
0.750 0.250 0.500
0.000 0.000 0.000
```

Entry 2:
A plane-wave DFT calculation with PBE-GGA was carried out for Ho4AsI5 after structural relaxation.

formation energy without anion corrections = -1.233 eV/atom
raw total energy = -4.30 eV/atom

Structure (POSCAR):
```
Ho4AsI5
1.0
4.064 0.000 -0.885
-0.433 8.482 -1.990
-0.014 0.145 9.709
Ho I As
4 5 1
Direct
0.000 0.791 0.001
0.000 0.209 0.999
0.355 0.928 0.709
0.645 0.072 0.291
0.829 0.172 0.657
0.165 0.336 0.331
0.835 0.664 0.669
0.500 0.500 0.000
0.171 0.828 0.343
0.500 0.000 0.000
```

Entry 3:
A plane-wave DFT calculation with PBE-GGA was carried out for Ho3AsI3 after structural relaxation.

formation energy without anion corrections = -1.225 eV/atom
raw total energy = -4.52 eV/atom

Structure (POSCAR):
```
Ho3AsI3
1.0
-5.569 -1.477 8.677
-3.804 -5.986 -7.628
9.942 -2.545 1.780
I As Ho
12 4 12
Direct
0.244 0.994 0.988
0.488 0.744 0.994
0.006 0.250 0.994
0.750 0.994 0.506
0.494 0.506 0.250
0.012 0.506 0.756
0.244 0.250 0.756
0.750 0.756 0.744
0.006 0.756 0.512
0.494 0.988 0.744
0.256 0.744 0.250
0.256 0.512 0.506
0.750 0.500 0.000
0.000 0.000 0.250
0.500 0.250 0.500
0.750 0.250 0.250
0.540 0.270 0.020
0.980 0.750 0.020
0.520 0.040 0.270
0.960 0.480 0.230
0.980 0.230 0.460
0.770 0.020 0.040
0.250 0.230 0.270
0.730 0.270 0.750
0.730 0.460 0.480
0.520 0.480 0.750
0.770 0.750 0.230
0.250 0.020 0.480
```